A.
First-principles (SCAN) data for a PBEsol-optimized structure of CrPt4, as listed in Alexandria via LeMat-Bulk.

Geometry as extended XYZ:
```
5
Lattice="3.5981 0.0000 0.0000 0.0000 3.5981 0.0000 -1.7991 -1.7991 6.4557" Properties=species:S:1:pos:R:3 pbc="T T T"
Pt 0.0000 1.7991 3.2279
Pt 1.7991 0.0000 3.2279
Pt 0.0000 0.0000 5.2181
Pt 1.7991 1.7991 1.2376
Cr 0.0000 0.0000 0.0000
```

D(E_F) (states/eV per atom): 1.07
Magnetization (μB per formula unit): 2.415
Volume (Å³/cell): 84



B.
First-principles (SCAN) data for a PBEsol-optimized structure of CrPt4, as listed in Alexandria via LeMat-Bulk.

Geometry as extended XYZ:
```
5
Lattice="3.8364 0.0000 0.0000 1.9182 4.3181 0.0000 1.9182 0.0000 4.3181" Properties=species:S:1:pos:R:3 pbc="T T T"
Pt 1.9182 1.7181 0.8332
Pt 3.8364 0.8332 2.6000
Pt 3.8364 3.4849 1.7181
Pt 5.7546 2.6000 3.4849
Cr 0.0000 0.0000 0.0000
```

D(E_F) (states/eV per atom): 1.27
Magnetization (μB per formula unit): 2.450
Volume (Å³/cell): 72



It turns out B is the most stable, with the second structure 0.330 eV/atom higher.